Record 1
Density functional theory data (GGA-PBE) for an optimized crystal structure of Pm8TmBi6.

Calculated formation energy: -0.57 eV/atom
Mass density: 8.28 g cm⁻³
SG: R-3, No. 148

Cell: 9.9829 9.9829 9.9829 Å, 48.87 48.87 48.87°
With the nearest neighbours (Å) after each atom.
Element x y z (fractional)
Pm  0.0361  0.7171  0.3810  3 Bi 3.13-3.14
Pm  0.1669  0.1669  0.1669  6 Bi 3.27-3.28
Pm  0.2829  0.6190  0.9639  3 Bi 3.13-3.14
Pm  0.3810  0.0361  0.7171  3 Bi 3.13-3.14
Pm  0.6190  0.9639  0.2829  3 Bi 3.13-3.14
Pm  0.7171  0.3810  0.0361  3 Bi 3.13-3.14
Pm  0.8331  0.8331  0.8331  6 Bi 3.27-3.28
Pm  0.9639  0.2829  0.6190  3 Bi 3.13-3.14
Tm  0.5000  0.5000  0.5000  6 Bi 3.19
Bi  0.1106  0.4327  0.7610  5 Pm 3.13-3.28, 1 Tm 3.19
Bi  0.2390  0.8894  0.5673  5 Pm 3.13-3.28, 1 Tm 3.19
Bi  0.4327  0.7610  0.1106  5 Pm 3.13-3.28, 1 Tm 3.19
Bi  0.5673  0.2390  0.8894  5 Pm 3.13-3.28, 1 Tm 3.19
Bi  0.7610  0.1106  0.4327  5 Pm 3.13-3.28, 1 Tm 3.19
Bi  0.8894  0.5673  0.2390  5 Pm 3.13-3.28, 1 Tm 3.19

---

Record 2
Density functional theory data (GGA-PBE) for an optimized crystal structure of ZrBTe2N.

E_form (uncorrected): 4.635 eV per formula unit
Energy above the most stable polymorph in this dataset: 830 meV per atom
Mass density: 4.63 g cm⁻³
SG: P4/mmm, No. 123

Cell: 5.7886 5.7886 3.9730 Å, 90.00 90.00 90.00°
With the nearest neighbours (Å) after each atom.
Element x y z (fractional)
Zr  0.0000  0.0000  0.0000  2 N 1.99
B  0.5000  0.5000  0.5000  8 Te 3.51
Te  0.0000  0.5000  0.0000  2 Zr 2.89
Te  0.5000  0.0000  0.0000  2 Zr 2.89
N  0.0000  0.0000  0.5000  2 Zr 1.99

---

Record 3
Density functional theory data (GGA-PBE) for an optimized crystal structure of SnGe6Te8.

E_form (uncorrected): -0.627 eV per formula unit
Mass density: 5.41 g cm⁻³
SG: R-3, No. 148

Cell: 8.0863 8.0863 8.0863 Å, 75.17 75.17 75.17°
With the nearest neighbours (Å) after each atom.
Element x y z (fractional)
Sn  0.0000  0.0000  0.0000  6 Te 3.00
Ge  0.1136  0.5948  0.3722  3 Te 2.75-2.83, 1 Ge 2.81
Ge  0.3722  0.1136  0.5948  3 Te 2.75-2.83, 1 Ge 2.81
Ge  0.4052  0.6278  0.8864  3 Te 2.75-2.83, 1 Ge 2.81
Ge  0.5948  0.3722  0.1136  3 Te 2.75-2.83, 1 Ge 2.81
Ge  0.6278  0.8864  0.4052  3 Te 2.75-2.83, 1 Ge 2.81
Ge  0.8864  0.4052  0.6278  3 Te 2.75-2.83, 1 Ge 2.81
Te  0.1408  0.3249  0.8221  2 Ge 2.75-2.83, 1 Sn 3.00
Te  0.1779  0.8592  0.6751  2 Ge 2.75-2.83, 1 Sn 3.00
Te  0.2771  0.2771  0.2771  3 Ge 2.77
Te  0.3249  0.8221  0.1408  2 Ge 2.75-2.83, 1 Sn 3.00
Te  0.6751  0.1779  0.8592  2 Ge 2.75-2.83, 1 Sn 3.00
Te  0.7229  0.7229  0.7229  3 Ge 2.77
Te  0.8221  0.1408  0.3249  2 Ge 2.75-2.83, 1 Sn 3.00
Te  0.8592  0.6751  0.1779  2 Ge 2.75-2.83, 1 Sn 3.00

---

Record 4
Density functional theory data (GGA-PBE) for an optimized crystal structure of LiSmZn3.

Calculated formation energy: -0.21 eV/atom
Energy above the most stable polymorph in this dataset: 0 meV per atom
Mass density: 6.15 g cm⁻³
SG: Cmcm, No. 63

Cell: 5.8811 5.8811 6.1010 Å, 90.00 90.00 115.24°
With the nearest neighbours (Å) after each atom.
Element x y z (fractional)
Li  0.1014  0.8986  0.7500  5 Zn 2.44-2.55
Li  0.8986  0.1014  0.2500  5 Zn 2.44-2.55
Sm  0.2311  0.7689  0.2500  12 Zn 3.24-3.37, 5 Li 3.30-3.56
Sm  0.7689  0.2311  0.7500  12 Zn 3.24-3.37, 5 Li 3.30-3.56
Zn  0.2828  0.2828  0.0000  3 Zn 2.55-2.74, 2 Li 2.55
Zn  0.2828  0.2828  0.5000  3 Zn 2.55-2.74, 2 Li 2.55
Zn  0.3474  0.6526  0.7500  1 Li 2.44, 4 Zn 2.55
Zn  0.6526  0.3474  0.2500  1 Li 2.44, 4 Zn 2.55
Zn  0.7172  0.7172  0.0000  3 Zn 2.55-2.74, 2 Li 2.55
Zn  0.7172  0.7172  0.5000  3 Zn 2.55-2.74, 2 Li 2.55

---

Record 5
Density functional theory data (GGA-PBE) for an optimized crystal structure of Nd3GeAs.

Calculated formation energy: -0.78 eV/atom
Mass density: 6.44 g cm⁻³
SG: P2_1/m, No. 11

Cell: 5.3757 6.1879 9.0006 Å, 90.00 90.08 90.00°
With the nearest neighbours (Å) after each atom.
Element x y z (fractional)
Nd  0.0000  0.0000  0.0000  2 Nd 3.09, 2 Ge 3.27, 4 As 3.38
Nd  0.0000  0.5000  0.0000  2 Nd 3.09, 2 Ge 3.27, 4 As 3.38
Nd  0.0007  0.2500  0.3529  3 Ge 2.94-3.11, 2 As 3.26
Nd  0.4995  0.2500  0.7875  2 Ge 2.86, 2 As 3.15
Nd  0.5005  0.7500  0.2125  2 Ge 2.86, 2 As 3.15
Nd  0.9993  0.7500  0.6471  3 Ge 2.94-3.11, 2 As 3.26
Ge  0.0007  0.7500  0.3203  5 Nd 2.86-3.11
Ge  0.9993  0.2500  0.6797  5 Nd 2.86-3.11
As  0.5004  0.2500  0.1486  9 Nd 3.15-3.38
As  0.4996  0.7500  0.8514  9 Nd 3.15-3.38

---

Record 6
Density functional theory data (GGA-PBE) for an optimized crystal structure of RbPa2Os.

Calculated formation energy: 0.40 eV/atom
Mass density: 8.16 g cm⁻³
SG: R-3m, No. 166

Cell: 11.3160 11.3160 11.3160 Å, 20.13 20.13 20.13°
With the nearest neighbours (Å) after each atom.
Element x y z (fractional)
Rb  0.0000  0.0000  0.0000  6 Rb 3.95, 2 Pa 4.02
Pa  0.1211  0.1211  0.1211  3 Os 2.74
Pa  0.8789  0.8789  0.8789  3 Os 2.74
Os  0.5000  0.5000  0.5000  6 Pa 2.74

---

What did the fifth record say?
Density functional theory data (GGA-PBE) for an optimized crystal structure of Nd3GeAs.

Calculated formation energy: -0.78 eV/atom
Mass density: 6.44 g cm⁻³
SG: P2_1/m, No. 11

Cell: 5.3757 6.1879 9.0006 Å, 90.00 90.08 90.00°
With the nearest neighbours (Å) after each atom.
Element x y z (fractional)
Nd  0.0000  0.0000  0.0000  2 Nd 3.09, 2 Ge 3.27, 4 As 3.38
Nd  0.0000  0.5000  0.0000  2 Nd 3.09, 2 Ge 3.27, 4 As 3.38
Nd  0.0007  0.2500  0.3529  3 Ge 2.94-3.11, 2 As 3.26
Nd  0.4995  0.2500  0.7875  2 Ge 2.86, 2 As 3.15
Nd  0.5005  0.7500  0.2125  2 Ge 2.86, 2 As 3.15
Nd  0.9993  0.7500  0.6471  3 Ge 2.94-3.11, 2 As 3.26
Ge  0.0007  0.7500  0.3203  5 Nd 2.86-3.11
Ge  0.9993  0.2500  0.6797  5 Nd 2.86-3.11
As  0.5004  0.2500  0.1486  9 Nd 3.15-3.38
As  0.4996  0.7500  0.8514  9 Nd 3.15-3.38

---

Question: Number 5 is which compound?
Answer: Nd3GeAs

---

Repeat the fifth record exactly.
Density functional theory data (GGA-PBE) for an optimized crystal structure of Nd3GeAs.

Calculated formation energy: -0.78 eV/atom
Mass density: 6.44 g cm⁻³
SG: P2_1/m, No. 11

Cell: 5.3757 6.1879 9.0006 Å, 90.00 90.08 90.00°
With the nearest neighbours (Å) after each atom.
Element x y z (fractional)
Nd  0.0000  0.0000  0.0000  2 Nd 3.09, 2 Ge 3.27, 4 As 3.38
Nd  0.0000  0.5000  0.0000  2 Nd 3.09, 2 Ge 3.27, 4 As 3.38
Nd  0.0007  0.2500  0.3529  3 Ge 2.94-3.11, 2 As 3.26
Nd  0.4995  0.2500  0.7875  2 Ge 2.86, 2 As 3.15
Nd  0.5005  0.7500  0.2125  2 Ge 2.86, 2 As 3.15
Nd  0.9993  0.7500  0.6471  3 Ge 2.94-3.11, 2 As 3.26
Ge  0.0007  0.7500  0.3203  5 Nd 2.86-3.11
Ge  0.9993  0.2500  0.6797  5 Nd 2.86-3.11
As  0.5004  0.2500  0.1486  9 Nd 3.15-3.38
As  0.4996  0.7500  0.8514  9 Nd 3.15-3.38